La5Sm3Ho: relaxed, PBE-GGA.

abc: 9.069 9.069 10.100
angles: 116.68 116.68 90.00
Fractional coordinates of all 18 atoms:
La 0.068 0.568 0.719
La 0.651 0.151 0.719
La 0.151 0.068 0.719
La 0.568 0.651 0.719
La 0.932 0.432 0.281
La 0.349 0.849 0.281
La 0.849 0.932 0.281
La 0.432 0.349 0.281
La 0.500 0.500 0.000
La 0.000 0.000 0.000
Sm 0.615 0.115 0.000
Sm 0.385 0.885 0.000
Sm 0.885 0.615 0.000
Sm 0.115 0.385 0.000
Sm 0.250 0.250 0.500
Sm 0.750 0.750 0.500
Ho 0.750 0.250 0.500
Ho 0.250 0.750 0.500

The density of states at the Fermi level is 1.902 states/eV/atom. Its symmetry is I4/mcm, No. 140. Its total magnetization is 0.001 μB/cell. As for the density: 6.782 Mg/m³. The value obtained for the energy of formation is 0.28 eV/atom. For the volume, the calculation gives 35.65 Å³/atom.


NaAgPdF5: relaxed, PBE-GGA.

abc: 5.885 5.885 8.713
angles: 106.91 106.91 101.09
Fractional coordinates of all 16 atoms:
Na 0.280 0.720 0.250
Na 0.720 0.280 0.750
Ag 0.684 0.316 0.250
Ag 0.316 0.684 0.750
Pd 0.000 0.000 0.500
Pd 0.000 0.000 0.000
F 0.011 0.989 0.250
F 0.989 0.011 0.750
F 0.738 0.173 0.983
F 0.262 0.827 0.017
F 0.827 0.262 0.517
F 0.173 0.738 0.483
F 0.675 0.734 0.382
F 0.325 0.266 0.618
F 0.266 0.325 0.118
F 0.734 0.675 0.882

Its symmetry is C2/c, No. 15. Its total magnetization is 0.000 μB/cell. As for the density: 4.192 Mg/m³. For the energy relative to the elements, uncorrected, the calculation gives -1.615 eV/atom. For the volume, the calculation gives 16.45 Å³/atom.


Na4H2ClF: relaxed, PBE-GGA.

abc: 7.181 7.181 7.191
angles: 120.05 120.05 89.92
Fractional coordinates of all 16 atoms:
Na 0.268 0.779 0.023
Na 0.721 0.232 0.477
Na 0.279 0.768 0.523
Na 0.732 0.221 0.977
Na 0.739 0.762 0.996
Na 0.738 0.761 0.504
Na 0.262 0.239 0.496
Na 0.261 0.238 0.004
H 0.500 0.000 0.000
H 0.500 0.000 0.500
H 0.000 0.000 0.500
H 0.500 0.500 0.000
Cl 0.000 0.500 0.000
Cl 0.000 0.500 0.500
F 0.500 0.500 0.500
F 0.000 0.000 0.000

The density of states at the Fermi level is 0.000 states/eV/atom. Its symmetry is Imma, No. 74. The value obtained for the electronic total energy is -3.140 eV per atom. Its total magnetization is 0.000 μB/cell. As for the density: 1.881 Mg/m³. For the volume, the calculation gives 16.38 Å³/atom.


BaAsPt2: relaxed, PBE-GGA.

abc: 4.384 4.870 5.024
angles: 84.90 90.00 90.00
Fractional coordinates of all 4 atoms:
As 0.000 0.466 0.338
Ba 0.500 0.797 0.740
Pt 0.000 0.955 0.203
Pt 0.500 0.282 0.219

The density of states at the Fermi level is 0.762 states/eV/atom. Its symmetry is Pm, No. 6. Its total magnetization is 0.000 μB/cell. As for the density: 9.364 Mg/m³. The value obtained for the energy of formation is -0.69 eV/atom. For the volume, the calculation gives 26.71 Å³/atom.


Sr2Ac2IrAu2: relaxed, PBE-GGA.

abc: 4.373 8.226 7.805
angles: 63.47 73.69 89.97
Fractional coordinates of all 7 atoms:
Sr 0.469 0.228 0.061
Sr 0.531 0.772 0.939
Ac 0.208 0.260 0.585
Ac 0.792 0.740 0.415
Ir 0.000 0.000 0.000
Au 0.116 0.552 0.767
Au 0.884 0.448 0.233

The density of states at the Fermi level is 0.578 states/eV/atom. Its symmetry is C2/m, No. 12. Its total magnetization is 0.000 μB/cell. As for the density: 8.462 Mg/m³. The value obtained for the energy of formation is -0.53 eV/atom. For the volume, the calculation gives 34.07 Å³/atom.


RbTeRu3: relaxed, PBE-GGA.

abc: 4.992 4.992 4.992
angles: 90.00 90.00 90.00
Fractional coordinates of all 5 atoms:
Ru 0.000 0.500 0.000
Ru 0.000 0.000 0.500
Ru 0.500 0.000 0.000
Te 0.000 0.000 0.000
Rb 0.500 0.500 0.500

The density of states at the Fermi level is 1.546 states/eV/atom. Its symmetry is Pm-3m, No. 221. Its total magnetization is 2.935 μB/cell. As for the density: 6.891 Mg/m³. For the energy relative to the elements, uncorrected, the calculation gives 1.364 eV/atom. For the volume, the calculation gives 24.88 Å³/atom.


La2Sm3TmSe6: relaxed, PBE-GGA.

abc: 4.172 8.450 9.359
angles: 102.68 102.88 90.00
Fractional coordinates of all 12 atoms:
La 0.833 0.665 0.666
La 0.167 0.335 0.334
Sm 0.500 0.500 0.000
Sm 0.829 0.165 0.658
Sm 0.171 0.835 0.342
Tm 0.500 0.000 0.000
Se 0.339 0.926 0.679
Se 0.664 0.590 0.328
Se 0.661 0.074 0.321
Se 0.996 0.237 0.992
Se 0.004 0.763 0.008
Se 0.336 0.410 0.672

The density of states at the Fermi level is 0.534 states/eV/atom. Its symmetry is C2/m, No. 12. Its total magnetization is 0.000 μB/cell. As for the density: 7.267 Mg/m³. For the energy relative to the elements, uncorrected, the calculation gives -1.847 eV/atom. For the volume, the calculation gives 26.12 Å³/atom.


KSc3Si: relaxed, PBE-GGA.

abc: 5.284 5.284 5.284
angles: 90.00 90.00 90.00
Fractional coordinates of all 5 atoms:
Sc 0.000 0.500 0.000
Sc 0.000 0.000 0.500
Sc 0.500 0.000 0.000
K 0.500 0.500 0.500
Si 0.000 0.000 0.000

The density of states at the Fermi level is 1.794 states/eV/atom. Its symmetry is Pm-3m, No. 221. Its total magnetization is 2.656 μB/cell. As for the density: 2.274 Mg/m³. For the energy relative to the elements, uncorrected, the calculation gives 0.223 eV/atom. For the volume, the calculation gives 29.50 Å³/atom.


MnCo2Au: relaxed, PBE-GGA.

abc: 4.566 4.566 4.631
angles: 78.75 78.75 35.07
Fractional coordinates of all 4 atoms:
Au 0.250 0.250 0.250
Co 0.005 0.005 0.973
Co 0.495 0.495 0.527
Mn 0.750 0.750 0.750

The density of states at the Fermi level is 1.195 states/eV/atom. Its symmetry is C2/m, No. 12. Its total magnetization is 6.800 μB/cell. As for the density: 11.308 Mg/m³. The value obtained for the energy of formation is 0.20 eV/atom. For the volume, the calculation gives 13.58 Å³/atom.


La4Si2Br: relaxed, PBE-GGA.

abc: 8.023 8.023 8.023
angles: 110.22 107.98 110.22
Fractional coordinates of all 14 atoms:
La 0.139 0.898 0.396
La 0.604 0.743 0.502
La 0.991 0.602 0.748
La 0.252 0.243 0.854
La 0.611 0.757 0.009
La 0.759 0.257 0.861
La 0.498 0.102 0.241
La 0.146 0.398 0.389
Si 0.875 0.121 0.496
Si 0.504 0.379 0.625
Si 0.375 0.879 0.754
Si 0.246 0.621 0.125
Br 0.000 0.000 0.000
Br 0.750 0.500 0.250

The density of states at the Fermi level is 1.118 states/eV/atom. Its symmetry is I-42d, No. 122. Its total magnetization is 0.000 μB/cell. As for the density: 5.781 Mg/m³. For the energy relative to the elements, uncorrected, the calculation gives -0.853 eV/atom. For the volume, the calculation gives 28.38 Å³/atom.